1.
Entry from the Alexandria database: BaAl2Au after structural relaxation (PBE).

For the spin magnetization, the calculation gives 0.00 μB per formula unit. As for the mass density: 6.7 g/cm³. The calculated total energy is -13.48 eV for the cell shown. Its energy of formation is -19 kJ/mol of atoms. As for the space group: No. 123.

CIF file:
```
data_BaAl2Au
_cell_length_a 3.5047
_cell_length_b 3.5084
_cell_length_c 7.8401
_cell_angle_alpha 90.00
_cell_angle_beta 90.00
_cell_angle_gamma 90.00
_space_group_name_H-M_alt 'P 1'
_space_group_IT_number 1
_space_group_name_Hall 'P 1'
loop_
_atom_site_label
_atom_site_type_symbol
_atom_site_fract_x
_atom_site_fract_y
_atom_site_fract_z
_atom_site_occupancy
Au1 Au 0.5000 0.5000 0.2500 1
Ba1 Ba 0.5000 0.5000 0.7500 1
Al1 Al 0.0000 0.0000 0.0753 1
Al2 Al 0.0000 0.0000 0.4247 1
```

2.
Entry from the Alexandria database: Rb2Ga3Bi5 after structural relaxation (PBE).

For the spin magnetization, the calculation gives 0.00 μB per formula unit. As for the mass density: 6.8 g/cm³. The calculated total energy is -63.63 eV for the cell shown. Its energy of formation is -13 kJ/mol of atoms. As for the space group: No. 72.

CIF file:
```
data_Rb2Ga3Bi5
_cell_length_a 7.3604
_cell_length_b 10.5574
_cell_length_c 10.5574
_cell_angle_alpha 68.52
_cell_angle_beta 69.60
_cell_angle_gamma 69.60
_space_group_name_H-M_alt 'P 1'
_space_group_IT_number 1
_space_group_name_Hall 'P 1'
loop_
_atom_site_label
_atom_site_type_symbol
_atom_site_fract_x
_atom_site_fract_y
_atom_site_fract_z
_atom_site_occupancy
Ga1 Ga 0.8855 0.7518 0.4772 1
Ga2 Ga 0.2500 0.0000 0.0000 1
Ga3 Ga 0.1145 0.2482 0.5228 1
Ga4 Ga 0.7500 0.0000 0.0000 1
Ga5 Ga 0.3855 0.4772 0.7518 1
Ga6 Ga 0.6145 0.5228 0.2482 1
Bi1 Bi 0.1162 0.9990 0.7686 1
Bi2 Bi 0.7500 0.5000 0.5000 1
Bi3 Bi 0.6162 0.7686 0.9990 1
Bi4 Bi 0.4696 0.2804 0.2804 1
Bi5 Bi 0.3838 0.2314 0.0010 1
Bi6 Bi 0.8838 0.0010 0.2314 1
Bi7 Bi 0.0304 0.7196 0.7196 1
Bi8 Bi 0.5304 0.7196 0.7196 1
Bi9 Bi 0.2500 0.5000 0.5000 1
Bi10 Bi 0.9696 0.2804 0.2804 1
Rb1 Rb 0.3724 0.8935 0.3618 1
Rb2 Rb 0.8724 0.3618 0.8935 1
Rb3 Rb 0.6276 0.1065 0.6382 1
Rb4 Rb 0.1276 0.6382 0.1065 1
```

3.
Entry from the Alexandria database: U3Ni2P4S2 after structural relaxation (PBE).

For the spin magnetization, the calculation gives 2.79 μB per formula unit. As for the mass density: 8.9 g/cm³. The value obtained for the energy relative to the elements, uncorrected is -0.871 eV/atom. The calculated total energy is -84.90 eV for the cell shown. As for the space group: No. 139.

CIF file:
```
data_U3Ni2P4S2
_cell_length_a 4.0070
_cell_length_b 4.0070
_cell_length_c 12.1567
_cell_angle_alpha 99.49
_cell_angle_beta 99.49
_cell_angle_gamma 90.00
_space_group_name_H-M_alt 'P 1'
_space_group_IT_number 1
_space_group_name_Hall 'P 1'
loop_
_atom_site_label
_atom_site_type_symbol
_atom_site_fract_x
_atom_site_fract_y
_atom_site_fract_z
_atom_site_occupancy
U1 U 0.8239 0.8239 0.6479 1
U2 U 0.0000 0.0000 0.0000 1
U3 U 0.1761 0.1761 0.3521 1
P1 P 0.9106 0.4106 0.8212 1
P2 P 0.0894 0.5894 0.1788 1
P3 P 0.5894 0.0894 0.1788 1
P4 P 0.4106 0.9106 0.8212 1
Ni1 Ni 0.5498 0.5498 0.0997 1
Ni2 Ni 0.4502 0.4502 0.9003 1
S1 S 0.7061 0.7061 0.4123 1
S2 S 0.2939 0.2939 0.5877 1
```

4.
Entry from the Alexandria database: La2MgInFe after structural relaxation (PBE).

For the spin magnetization, the calculation gives 0.00 μB per formula unit. As for the mass density: 5.8 g/cm³. Its energy relative to the lowest polymorph listed for this composition is 0.010 eV per atom. The calculated total energy is -23.20 eV for the cell shown. Its energy of formation is -11 kJ/mol of atoms. As for the space group: No. 123.

CIF file:
```
data_La2MgInFe
_cell_length_a 5.0920
_cell_length_b 5.0920
_cell_length_c 5.1991
_cell_angle_alpha 90.00
_cell_angle_beta 90.00
_cell_angle_gamma 90.00
_space_group_name_H-M_alt 'P 1'
_space_group_IT_number 1
_space_group_name_Hall 'P 1'
loop_
_atom_site_label
_atom_site_type_symbol
_atom_site_fract_x
_atom_site_fract_y
_atom_site_fract_z
_atom_site_occupancy
In1 In 0.5000 0.5000 0.5000 1
Mg1 Mg 0.0000 0.0000 0.5000 1
La1 La 0.5000 0.0000 0.0000 1
La2 La 0.0000 0.5000 0.0000 1
Fe1 Fe 0.0000 0.0000 0.0000 1
```